The following is a PBE calculation of an optimized crystal structure of HfMnBr3, from Alexandria via LeMat-Bulk.

Calculated volume in A^3/atom: 22.50
Density of states at the Fermi level in states/eV per cell: 11.62
Formation energy without anion corrections in eV per formula unit: 3.1
Crystal system: cubic

Cell: 4.8276 4.8276 4.8276 Å, 90.00 90.00 90.00°
Positions (direct):
Hf 0.0000 0.0000 0.0000
Mn 0.5000 0.5000 0.5000
Br 0.0000 0.5000 0.5000
Br 0.5000 0.0000 0.5000
Br 0.5000 0.5000 0.0000